[1]
First-principles (PBE) data for Lu2TaBi after structural relaxation, as listed in the Open Quantum Materials Database.

The calculated total energy comes out at -5.9530 eV/atom. The calculation puts the total magnetic moment at 1.93 μB per cell. As for the space group: No. 216.

Cell lengths 5.1450, 5.1450, 5.1450 Å; angles 60.00, 60.00, 60.00 degrees
Site moments in Bohr magnetons follow the coordinates.
Element x y z (fractional)
1 Ta 0.2500 0.2500 0.2500  0.91
2 Lu 0.0000 0.0000 0.0000  0.46
3 Bi 0.5000 0.5000 0.5000  -0.02
4 Lu 0.7500 0.7500 0.7500  0.00

***

[2]
First-principles (PBE) data for TmHO after structural relaxation, as listed in the Open Quantum Materials Database.

The calculated total energy comes out at -6.6010 eV/atom. The calculation puts the total magnetic moment at 0.00 μB per cell. As for the space group: No. 216.

Cell lengths 3.6558, 3.6558, 3.6558 Å; angles 60.00, 60.00, 60.00 degrees
Element x y z (fractional)
1 O 0.5000 0.5000 0.5000
2 Tm 0.2500 0.2500 0.2500
3 H 0.0000 0.0000 0.0000

***

[3]
First-principles (PBE) data for CuPdPbSe3 after structural relaxation, as listed in the Open Quantum Materials Database.

The calculated total energy comes out at -4.0932 eV/atom. As for the space group: No. 63.

Cell lengths 6.8460, 6.8460, 9.9584 Å; angles 90.00, 90.00, 146.36 degrees
Element x y z (fractional)
1 Se 0.8700 0.1300 0.0397
2 Se 0.1300 0.8700 0.9603
3 Se 0.1300 0.8700 0.5397
4 Cu 0.0353 0.9647 0.7500
5 Se 0.8700 0.1300 0.4603
6 Se 0.5746 0.4254 0.2500
7 Pb 0.2564 0.7436 0.2500
8 Cu 0.9647 0.0353 0.2500
9 Pd 0.5000 0.5000 0.0000
10 Pd 0.5000 0.5000 0.5000
11 Pb 0.7436 0.2564 0.7500
12 Se 0.4254 0.5746 0.7500

***

[4]
First-principles (PBE) data for NaAgCl6 after structural relaxation, as listed in the Open Quantum Materials Database.

The calculated total energy comes out at -2.4758 eV/atom. As for the space group: No. 2.

Cell lengths 4.2026, 6.7956, 8.5729 Å; angles 96.58, 98.95, 92.91 degrees
Element x y z (fractional)
1 Cl 0.9413 0.2656 0.8461
2 Cl 0.5822 0.8143 0.8185
3 Cl 0.0921 0.4124 0.4165
4 Cl 0.4178 0.1857 0.1815
5 Ag 0.0000 0.0000 0.0000
6 Cl 0.9079 0.5876 0.5835
7 Cl 0.0587 0.7344 0.1539
8 Na 0.5000 0.5000 0.0000

***

[5]
First-principles (PBE) data for ZrTl2Cl6 after structural relaxation, as listed in the Open Quantum Materials Database.

The calculated total energy comes out at -4.1883 eV/atom. The calculation puts the total magnetic moment at 0.00 μB per cell. As for the space group: No. 136.

Cell lengths 6.9302, 6.9302, 13.1914 Å; angles 90.00, 90.00, 90.00 degrees
Element x y z (fractional)
1 Cl 0.3223 0.6777 0.6359
2 Tl 0.5000 0.5000 0.1656
3 Cl 0.3223 0.6777 0.3641
4 Cl 0.8223 0.8223 0.8641
5 Cl 0.7466 0.2534 0.0000
6 Tl 0.5000 0.5000 0.8344
7 Cl 0.7534 0.7534 0.5000
8 Cl 0.1777 0.1777 0.8641
9 Tl 0.0000 0.0000 0.6656
10 Zr 0.5000 0.5000 0.5000
11 Cl 0.6777 0.3223 0.6359
12 Cl 0.2466 0.2466 0.5000
13 Zr 0.0000 0.0000 0.0000
14 Cl 0.8223 0.8223 0.1359
15 Cl 0.6777 0.3223 0.3641
16 Tl 0.0000 0.0000 0.3344
17 Cl 0.2534 0.7466 0.0000
18 Cl 0.1777 0.1777 0.1359

***

[6]
First-principles (PBE) data for CoSn2Ir after structural relaxation, as listed in the Open Quantum Materials Database.

The calculated total energy comes out at -5.5274 eV/atom. The calculation puts the total magnetic moment at 1.19 μB per cell. As for the space group: No. 216.

Cell lengths 4.6579, 4.6579, 4.6579 Å; angles 60.00, 60.00, 60.00 degrees
Site moments in Bohr magnetons follow the coordinates.
Element x y z (fractional)
1 Sn 0.2500 0.2500 0.2500  -0.02
2 Co 0.7500 0.7500 0.7500  1.15
3 Ir 0.5000 0.5000 0.5000  0.16
4 Sn 0.0000 0.0000 0.0000  -0.04

***

[7]
First-principles (PBE) data for ZrBi2 after structural relaxation, as listed in the Open Quantum Materials Database.

The calculated total energy comes out at -5.7520 eV/atom. The calculation puts the total magnetic moment at 0.00 μB per cell. As for the space group: No. 12.

Cell lengths 4.3023, 5.2434, 7.6641 Å; angles 95.82, 106.30, 90.00 degrees
Element x y z (fractional)
1 Bi 0.8962 0.7754 0.7924
2 Bi 0.6037 0.7247 0.2075
3 Bi 0.1038 0.2246 0.2076
4 Zr 0.2501 0.7501 0.5002
5 Bi 0.3963 0.2753 0.7925
6 Zr 0.7499 0.2499 0.4998

***

[8]
First-principles (PBE) data for NbCdBrO2 after structural relaxation, as listed in the Open Quantum Materials Database.

The calculated total energy comes out at -5.9036 eV/atom. The calculation puts the total magnetic moment at 0.00 μB per cell. As for the space group: No. 11.

Cell lengths 6.1099, 3.7586, 8.8844 Å; angles 90.00, 106.66, 90.00 degrees
Element x y z (fractional)
1 O 0.0140 0.2500 0.7034
2 Br 0.5347 0.2500 0.1751
3 Br 0.4653 0.7500 0.8249
4 Nb 0.8478 0.7500 0.0906
5 Cd 0.2947 0.2500 0.4790
6 Cd 0.7054 0.7500 0.5210
7 Nb 0.1522 0.2500 0.9094
8 O 0.9860 0.7500 0.2966
9 O 0.1163 0.7500 0.9901
10 O 0.8837 0.2500 0.0099